! TbSnIr, optimized geometry, DFT GGA-PBE; values from VASP
&SYSTEM
  ibrav = 0, nat = 3, ntyp = 3
/
ATOMIC_SPECIES
Tb 158.93 Tb.upf
Sn 118.71 Sn.upf
Ir 192.22 Ir.upf
CELL_PARAMETERS angstrom
-1.667 1.667 5.798
1.667 -1.667 5.798
1.667 1.667 -5.798
ATOMIC_POSITIONS angstrom
Tb 0.000 0.000 0.000
Sn 0.000 0.000 3.383
Ir 0.000 0.000 7.606
! crystal system = tetragonal
! energy of formation from the pure elements = -1.561 eV/f.u.
! total magnetic moment = 0.000 μB per formula unit